Below is a relaxed structure of RbIn2Pb, with properties calculated at the PBE level.

## Properties
calculated density: 4.96 g cm⁻³
total energy: -0.180 Ry/atom
symmetry: I-42d (122)
crystal system: tetragonal
formation energy from the elements: 0.08 eV per atom

The structure in POSCAR format:
```
RbIn2Pb
1.0
-0.761 -3.818 4.179
5.618 0.002 1.025
1.138 6.075 9.660
In Pb Rb
4 2 2
Direct
0.949 0.625 0.250 In
0.801 0.125 0.250 In
0.375 0.199 0.750 In
0.875 0.051 0.750 In
0.000 0.000 0.000 Pb
0.750 0.250 0.500 Pb
0.250 0.750 0.500 Rb
0.500 0.500 0.000 Rb
```

Below is a relaxed structure of Li4TlHg2, with properties calculated at the PBE level.

## Properties
calculated density: 7.09 g cm⁻³
total energy: -0.126 Ry/atom
symmetry: C2/m (12)
crystal system: monoclinic
energy relative to the lowest polymorph listed for this composition: 0.57 eV/f.u.
formation energy from the elements: -0.19 eV per atom

The structure in POSCAR format:
```
Li4TlHg2
1.0
3.100 0.000 0.000
0.000 7.317 0.015
-1.550 -3.533 6.529
Hg Li Tl
2 4 1
Direct
0.239 0.190 0.479 Hg
0.761 0.810 0.521 Hg
0.363 0.614 0.725 Li
0.914 0.281 0.828 Li
0.086 0.719 0.172 Li
0.637 0.386 0.275 Li
0.000 0.000 0.000 Tl
```

Below is a relaxed structure of Cd6SnPb, with properties calculated at the PBE level.

## Properties
calculated density: 8.39 g cm⁻³
total energy: -0.118 Ry/atom
symmetry: P4/mmm (123)
crystal system: tetragonal
energy relative to the lowest polymorph listed for this composition: 0.06 eV/f.u.
formation energy from the elements: 0.05 eV per atom

The structure in POSCAR format:
```
Cd6SnPb
1.0
-3.316 -0.260 3.404
-3.981 -2.981 -4.106
2.358 -5.706 1.861
Pb Cd Sn
1 6 1
Direct
0.500 0.500 0.500 Pb
0.500 0.000 0.500 Cd
0.000 0.753 0.753 Cd
0.500 0.500 0.000 Cd
0.000 0.247 0.247 Cd
0.000 0.247 0.753 Cd
0.000 0.753 0.247 Cd
0.500 0.000 0.000 Sn
```

Below is a relaxed structure of KLiCo, with properties calculated at the PBE level.

## Properties
calculated density: 2.52 g cm⁻³
total energy: -0.195 Ry/atom
symmetry: Imm2 (44)
crystal system: orthorhombic
energy relative to the lowest polymorph listed for this composition: 1.06 eV/f.u.
formation energy from the elements: 0.73 eV per atom

The structure in POSCAR format:
```
KLiCo
1.0
-1.477 -5.536 -2.902
2.802 -5.774 -0.249
-2.686 5.037 2.944
K Li Co
1 1 1
Direct
0.339 0.339 0.000 K
0.612 0.612 0.000 Li
0.049 0.049 0.000 Co
```

Below is a relaxed structure of LiYAl3, with properties calculated at the PBE level.

## Properties
calculated density: 1.68 g cm⁻³
total energy: -0.221 Ry/atom
symmetry: Pm-3m (221)
crystal system: cubic
energy relative to the lowest polymorph listed for this composition: 5.98 eV/f.u.
formation energy from the elements: 0.92 eV per atom

The structure in POSCAR format:
```
LiYAl3
1.0
-3.538 1.772 -3.943
-3.966 -3.359 2.049
-1.721 4.097 3.386
Al Y Li
3 1 1
Direct
0.000 0.000 0.500 Al
0.000 0.500 0.000 Al
0.500 0.000 0.000 Al
0.000 0.000 0.000 Y
0.500 0.500 0.500 Li
```

Below is a relaxed structure of In3Pb, with properties calculated at the PBE level.

## Properties
calculated density: 8.06 g cm⁻³
total energy: -0.218 Ry/atom
symmetry: Cmmm (65)
crystal system: orthorhombic
formation energy from the elements: 0.02 eV per atom

The structure in POSCAR format:
```
In3Pb
1.0
-2.928 -2.691 -3.225
4.194 -5.100 0.448
-5.591 0.133 4.964
In Pb
6 2
Direct
0.000 0.500 0.500 In
0.000 0.247 0.000 In
0.500 0.123 0.245 In
0.000 0.000 0.500 In
0.500 0.877 0.755 In
0.000 0.753 0.000 In
0.500 0.627 0.253 Pb
0.500 0.373 0.747 Pb
```

Below is a relaxed structure of TaTl6I12, with properties calculated at the PBE level.

## Properties
calculated density: 5.12 g cm⁻³
total energy: -0.209 Ry/atom
symmetry: R-3 (148)
crystal system: trigonal
raw formation energy: -0.50 eV/atom

The structure in POSCAR format:
```
TaTl6I12
1.0
9.899 -0.251 -1.719
-2.001 9.698 -1.719
-0.210 -0.251 10.045
Tl I Ta
6 12 1
Direct
0.626 0.416 0.846 Tl
0.154 0.374 0.584 Tl
0.374 0.584 0.154 Tl
0.846 0.626 0.416 Tl
0.416 0.846 0.626 Tl
0.584 0.154 0.374 Tl
0.395 0.626 0.837 I
0.626 0.837 0.395 I
0.958 0.138 0.250 I
0.250 0.958 0.138 I
0.750 0.042 0.862 I
0.862 0.750 0.042 I
0.163 0.605 0.374 I
0.138 0.250 0.958 I
0.374 0.163 0.605 I
0.042 0.862 0.750 I
0.837 0.395 0.626 I
0.605 0.374 0.163 I
0.000 0.000 0.000 Ta
```

Below is a relaxed structure of CaTeCl2, with properties calculated at the PBE level.

## Properties
calculated density: 3.68 g cm⁻³
total energy: -0.221 Ry/atom
symmetry: F-43m (216)
crystal system: cubic
raw formation energy: -0.80 eV/atom
energy relative to the lowest polymorph listed for this composition: 2.62 eV/f.u.

The structure in POSCAR format:
```
CaTeCl2
1.0
5.340 0.000 0.000
2.670 4.625 0.000
2.670 1.542 4.360
Te Cl Ca
1 2 1
Direct
0.750 0.750 0.750 Te
0.000 0.000 0.000 Cl
0.250 0.250 0.250 Cl
0.500 0.500 0.500 Ca
```

Below is a relaxed structure of CaTaAg2, with properties calculated at the PBE level.

## Properties
calculated density: 8.89 g cm⁻³
total energy: -0.328 Ry/atom
symmetry: R-3m (166)
crystal system: trigonal
energy relative to the lowest polymorph listed for this composition: 0.68 eV/f.u.
formation energy from the elements: 0.43 eV per atom

The structure in POSCAR format:
```
CaTaAg2
1.0
10.200 -0.028 -0.016
9.749 3.000 -0.016
9.749 1.453 2.625
Ca Ag Ta
1 2 1
Direct
0.250 0.250 0.250 Ca
0.004 0.004 0.004 Ag
0.496 0.496 0.496 Ag
0.750 0.750 0.750 Ta
```

Below is a relaxed structure of HfCuB3, with properties calculated at the PBE level.

## Properties
calculated density: 8.07 g cm⁻³
total energy: -0.431 Ry/atom
symmetry: Pm-3m (221)
crystal system: cubic
energy relative to the lowest polymorph listed for this composition: 0.00 eV/f.u.
formation energy from the elements: 0.95 eV per atom

The structure in POSCAR format:
```
HfCuB3
1.0
-0.603 3.778 -0.286
-1.309 0.064 3.606
3.556 0.665 1.279
B Hf Cu
3 1 1
Direct
0.500 0.000 0.000 B
0.000 0.500 0.000 B
0.000 0.000 0.500 B
0.500 0.500 0.500 Hf
0.000 0.000 0.000 Cu
```

Below is a relaxed structure of Dy5Ga2Sn, with properties calculated at the PBE level.

## Properties
calculated density: 8.37 g cm⁻³
total energy: -0.346 Ry/atom
symmetry: I4/mcm (140)
crystal system: tetragonal
formation energy from the elements: -0.58 eV per atom

The structure in POSCAR format:
```
Dy5Ga2Sn
1.0
7.873 0.000 0.000
0.000 7.873 0.000
-3.937 -3.937 6.855
Ga Dy Sn
4 10 2
Direct
0.370 0.870 0.000 Ga
0.630 0.130 0.000 Ga
0.130 0.370 0.000 Ga
0.870 0.630 0.000 Ga
0.000 0.000 0.000 Dy
0.982 0.482 0.288 Dy
0.693 0.193 0.712 Dy
0.018 0.518 0.712 Dy
0.807 0.982 0.288 Dy
0.500 0.500 0.000 Dy
0.307 0.807 0.288 Dy
0.482 0.307 0.288 Dy
0.518 0.693 0.712 Dy
0.193 0.018 0.712 Dy
0.250 0.250 0.500 Sn
0.750 0.750 0.500 Sn
```

Below is a relaxed structure of Mg2BI, with properties calculated at the PBE level.

## Properties
calculated density: 3.78 g cm⁻³
total energy: -0.145 Ry/atom
symmetry: Fm-3m (225)
crystal system: cubic
raw formation energy: 0.89 eV/atom
energy relative to the lowest polymorph listed for this composition: 1.99 eV/f.u.

The structure in POSCAR format:
```
Mg2BI
1.0
0.000 3.447 3.447
3.447 0.000 3.447
3.447 3.447 0.000
Mg B I
2 1 1
Direct
0.250 0.250 0.250 Mg
0.750 0.750 0.750 Mg
0.000 0.000 0.000 B
0.500 0.500 0.500 I
```

Below is a relaxed structure of Er4PaRu5, with properties calculated at the PBE level.

## Properties
calculated density: 11.18 g cm⁻³
total energy: -0.557 Ry/atom
symmetry: I4 (79)
crystal system: tetragonal
formation energy from the elements: -0.17 eV per atom

The structure in POSCAR format:
```
Er4PaRu5
1.0
-5.260 -1.221 -0.851
-1.001 -4.453 -4.983
-2.211 -5.249 3.636
Er Ru Pa
4 5 1
Direct
0.149 0.249 0.396 Er
0.545 0.604 0.249 Er
0.795 0.751 0.604 Er
0.399 0.396 0.751 Er
0.847 0.344 0.874 Ru
0.618 0.000 0.000 Ru
0.191 0.874 0.656 Ru
0.066 0.656 0.126 Ru
0.722 0.126 0.344 Ru
0.178 0.000 0.000 Pa
```

Below is a relaxed structure of Rb2Cd2I5, with properties calculated at the PBE level.

## Properties
calculated density: 4.08 g cm⁻³
total energy: -0.159 Ry/atom
symmetry: C2/m (12)
crystal system: monoclinic
raw formation energy: -0.89 eV/atom

The structure in POSCAR format:
```
Rb2Cd2I5
1.0
-5.391 3.082 0.349
0.127 -5.258 -7.037
-2.100 -4.509 7.382
Cd Rb I
2 2 5
Direct
0.147 0.294 0.873 Cd
0.853 0.706 0.127 Cd
0.393 0.786 0.702 Rb
0.607 0.214 0.298 Rb
0.852 0.704 0.453 I
0.148 0.296 0.547 I
0.350 0.700 0.094 I
0.000 0.000 0.000 I
0.650 0.300 0.906 I
```

Below is a relaxed structure of Cu3GeF8, with properties calculated at the PBE level.

## Properties
calculated density: 4.07 g cm⁻³
total energy: -0.320 Ry/atom
symmetry: C222 (21)
crystal system: orthorhombic
raw formation energy: -1.70 eV/atom

The structure in POSCAR format:
```
Cu3GeF8
1.0
-4.024 0.258 -3.967
1.372 -4.738 2.768
-4.313 1.359 4.464
Cu F Ge
3 8 1
Direct
0.500 0.000 0.770 Cu
0.500 0.500 0.000 Cu
0.000 0.500 0.230 Cu
0.697 0.303 0.000 F
0.269 0.252 0.704 F
0.731 0.748 0.704 F
0.748 0.731 0.296 F
0.688 0.312 0.500 F
0.252 0.269 0.296 F
0.312 0.688 0.500 F
0.303 0.697 0.000 F
0.500 0.500 0.500 Ge
```

Below is a relaxed structure of KPaMnSe3, with properties calculated at the PBE level.

## Properties
calculated density: 5.38 g cm⁻³
total energy: -0.450 Ry/atom
symmetry: P2_1/m (11)
crystal system: monoclinic
raw formation energy: -1.09 eV/atom

The structure in POSCAR format:
```
KPaMnSe3
1.0
4.116 0.000 0.000
0.000 9.153 0.182
0.000 -3.377 9.132
Se K Mn Pa
6 2 2 2
Direct
0.750 0.457 0.153 Se
0.750 0.204 0.529 Se
0.250 0.796 0.471 Se
0.250 0.111 0.869 Se
0.750 0.889 0.131 Se
0.250 0.543 0.847 Se
0.250 0.206 0.242 K
0.750 0.794 0.758 K
0.750 0.913 0.394 Mn
0.250 0.087 0.606 Mn
0.250 0.684 0.162 Pa
0.750 0.316 0.838 Pa
```

Below is a relaxed structure of Ce2ZrSc2, with properties calculated at the PBE level.

## Properties
calculated density: 6.13 g cm⁻³
total energy: -0.482 Ry/atom
symmetry: C2/m (12)
crystal system: monoclinic
formation energy from the elements: 0.06 eV per atom

The structure in POSCAR format:
```
Ce2ZrSc2
1.0
-2.243 -2.046 1.145
-0.836 -2.618 -1.724
9.805 -7.258 6.256
Sc Ce Zr
2 2 1
Direct
0.333 0.333 0.186 Sc
0.667 0.667 0.814 Sc
0.332 0.332 0.604 Ce
0.668 0.668 0.396 Ce
0.000 0.000 0.000 Zr
```